1.
# CaPm9Ho2 (GGA-PBE, relaxed)
data_CaPm9Ho2
_symmetry_space_group_name_H-M 'P 6/m m m'
_symmetry_Int_Tables_number 191
_symmetry_space_group_name_Hall '-P 6 2'
_cell_length_a 11.5411
_cell_length_b 11.5411
_cell_length_c 3.5894
_cell_angle_alpha 90.00
_cell_angle_beta 90.00
_cell_angle_gamma 120.00
loop_
_atom_site_label
_atom_site_type_symbol
_atom_site_fract_x
_atom_site_fract_y
_atom_site_fract_z
_atom_site_occupancy
Ca1 Ca 0.0000 0.0000 0.0000 1
Pm1 Pm 0.0000 0.5000 0.0000 1
Pm2 Pm 0.1793 0.3585 0.5000 1
Ho1 Ho 0.3333 0.6667 0.0000 1
# * DFT total energy: -53.56 eV per formula unit

***

2.
# CaPmHo (GGA-PBE, relaxed)
data_CaPmHo
_symmetry_space_group_name_H-M 'C 1 2/m 1'
_symmetry_Int_Tables_number 12
_cell_length_a 32.364
_cell_length_b 3.620
_cell_length_c 3.674
_cell_angle_alpha 90.00
_cell_angle_beta 90.03
_cell_angle_gamma 90.00
loop_
_symmetry_equiv_pos_as_xyz
'x,y,z'
'-x,-y,-z'
'-x,y,-z'
'x,-y,z'
'x+1/2,y+1/2,z'
'-x+1/2,-y+1/2,-z'
'-x+1/2,y+1/2,-z'
'x+1/2,-y+1/2,z'
loop_
_atom_site_label
_atom_site_type_symbol
_atom_site_fract_x
_atom_site_fract_y
_atom_site_fract_z
_atom_site_occupancy
Ca1 Ca 0.051 0.000 0.249 1
Pm1 Pm 0.209 0.000 0.250 1
Ho1 Ho 0.135 0.500 0.749 1
# * DFT total energy: -11.09 eV per formula unit

***

3.
# CaPm6Ho2 (GGA-PBE, relaxed)
data_CaPm6Ho2
_symmetry_space_group_name_H-M 'P -6 m 2'
_symmetry_Int_Tables_number 187
_symmetry_space_group_name_Hall 'P -6 2'
_cell_length_a 3.6505
_cell_length_b 3.6505
_cell_length_c 27.2259
_cell_angle_alpha 90.00
_cell_angle_beta 90.00
_cell_angle_gamma 120.00
loop_
_atom_site_label
_atom_site_type_symbol
_atom_site_fract_x
_atom_site_fract_y
_atom_site_fract_z
_atom_site_occupancy
Ca1 Ca 0.0000 0.0000 0.0000 1
Pm1 Pm 0.0000 0.0000 0.2240 1
Pm2 Pm 0.0000 0.0000 0.4344 1
Pm3 Pm 0.6667 0.3333 0.1179 1
Ho1 Ho 0.6667 0.3333 0.3319 1
# * DFT total energy: -39.10 eV per formula unit

***

4.
# CaPm5Ho3 (GGA-PBE, relaxed)
data_CaPm5Ho3
_symmetry_space_group_name_H-M 'C m c m'
_symmetry_Int_Tables_number 63
_symmetry_space_group_name_Hall '-C 2c 2'
_cell_length_a 17.086
_cell_length_b 10.010
_cell_length_c 7.083
_cell_angle_alpha 90.00
_cell_angle_beta 90.00
_cell_angle_gamma 90.00
loop_
_atom_site_label
_atom_site_type_symbol
_atom_site_fract_x
_atom_site_fract_y
_atom_site_fract_z
_atom_site_occupancy
Ca1 Ca 0.000 0.150 0.250 1
Pm1 Pm 0.000 0.193 0.750 1
Pm2 Pm 0.159 0.355 0.250 1
Pm3 Pm 0.177 0.317 0.750 1
Ho1 Ho 0.000 0.500 0.000 1
Ho2 Ho 0.170 0.000 0.000 1
# * DFT total energy: -38.78 eV per formula unit